Entry 1:
## SbPb2Se (PBE-GGA)

Data for an optimized crystal structure of SbPb2Se.

Geometry as CIF:
```
data_SbPb2Se
_symmetry_space_group_name_H-M 'P 1'
_symmetry_Int_Tables_number 1
_cell_length_a 3.689
_cell_length_b 3.689
_cell_length_c 8.380
_cell_angle_alpha 90.00
_cell_angle_beta 90.00
_cell_angle_gamma 90.00
loop_
_symmetry_equiv_pos_as_xyz
'x,y,z'
loop_
_atom_site_label
_atom_site_fract_x
_atom_site_fract_y
_atom_site_fract_z
Sb1 0.000 0.000 0.000
Pb1 0.500 0.500 0.278
Pb2 0.500 0.500 0.722
Se1 0.000 0.000 0.500
```

Properties
mass density: 8.96 g/cm3
excess energy over the best structure of this formula in the dataset: 101 meV per atom

=====

Entry 2:
## TmBi3Te6 (PBE-GGA)

Data for an optimized crystal structure of TmBi3Te6.

Geometry as CIF:
```
data_TmBi3Te6
_symmetry_space_group_name_H-M 'P 1'
_symmetry_Int_Tables_number 1
_cell_length_a 13.086
_cell_length_b 4.361
_cell_length_c 13.219
_cell_angle_alpha 90.00
_cell_angle_beta 109.66
_cell_angle_gamma 90.00
loop_
_symmetry_equiv_pos_as_xyz
'x,y,z'
loop_
_atom_site_label
_atom_site_fract_x
_atom_site_fract_y
_atom_site_fract_z
Tm1 0.191 0.250 0.040
Tm2 0.809 0.750 0.960
Bi1 0.034 0.750 0.297
Bi2 0.339 0.250 0.437
Bi3 0.401 0.750 0.851
Bi4 0.599 0.250 0.149
Bi5 0.661 0.750 0.563
Bi6 0.966 0.250 0.703
Te1 0.032 0.750 0.903
Te2 0.118 0.250 0.469
Te3 0.234 0.750 0.234
Te4 0.235 0.250 0.812
Te5 0.387 0.750 0.073
Te6 0.426 0.750 0.603
Te7 0.574 0.250 0.397
Te8 0.613 0.250 0.927
Te9 0.765 0.750 0.188
Te10 0.766 0.250 0.766
Te11 0.882 0.750 0.531
Te12 0.968 0.250 0.097
```

Properties
energy: -3.966 eV per atom
mass density: 7.30 g/cm3

=====

Entry 3:
## Na2AgSb2 (PBE-GGA)

Data for an optimized crystal structure of Na2AgSb2.

Geometry as CIF:
```
data_Na2AgSb2
_symmetry_space_group_name_H-M 'P 1'
_symmetry_Int_Tables_number 1
_cell_length_a 7.574
_cell_length_b 7.574
_cell_length_c 7.574
_cell_angle_alpha 144.97
_cell_angle_beta 144.97
_cell_angle_gamma 50.38
loop_
_symmetry_equiv_pos_as_xyz
'x,y,z'
loop_
_atom_site_label
_atom_site_fract_x
_atom_site_fract_y
_atom_site_fract_z
Na1 0.250 0.750 0.500
Na2 0.750 0.250 0.500
Ag1 0.000 0.000 0.000
Sb1 0.402 0.402 0.000
Sb2 0.598 0.598 0.000
```

Properties
mass density: 4.63 g/cm3
excess energy over the best structure of this formula in the dataset: 403 meV per atom

=====

> What is the mass density in the first record?

8.96 g/cm3

=====

> The lowest mass density belongs to which entry?

Na2AgSb2

=====

> Which of these has the lowest mass density?

Na2AgSb2

=====

> Among the records above, which one has the lowest mass density?

Na2AgSb2